Material: TlCr2Tc
Method: DFT, SCAN
State: single point on PBEsol structure

Properties
As for the magnetic moment: 1.150 μB per atom. The calculation puts the energy at -35.711 eV per atom. The space-group type is P4/mmm.

CIF file:
```
data_TlCr2Tc
_cell_length_a 2.985
_cell_length_b 2.985
_cell_length_c 6.752
_cell_angle_alpha 90.00
_cell_angle_beta 90.00
_cell_angle_gamma 90.00
_symmetry_space_group_name_H-M 'P 1'
_symmetry_Int_Tables_number 1
_symmetry_space_group_name_Hall 'P 1'
loop_
_atom_site_label
_atom_site_fract_x
_atom_site_fract_y
_atom_site_fract_z
Tl1 0.000 0.000 0.000
Cr1 0.500 0.500 0.293
Cr2 0.500 0.500 0.707
Tc1 0.000 0.000 0.500
```

Material: TlCr2Tc
Method: DFT, SCAN
State: single point on PBEsol structure

Properties
As for the magnetic moment: 0.000 μB per atom. The calculation puts the energy at -35.402 eV per atom. The space-group type is R3m.

CIF file:
```
data_TlCr2Tc
_cell_length_a 8.491
_cell_length_b 8.491
_cell_length_c 8.491
_cell_angle_alpha 19.44
_cell_angle_beta 19.44
_cell_angle_gamma 19.44
_symmetry_space_group_name_H-M 'P 1'
_symmetry_Int_Tables_number 1
_symmetry_space_group_name_Hall 'P 1'
loop_
_atom_site_label
_atom_site_fract_x
_atom_site_fract_y
_atom_site_fract_z
Tl1 0.000 0.000 0.000
Cr1 0.238 0.238 0.238
Cr2 0.507 0.507 0.507
Tc1 0.764 0.764 0.764
```